(1)
! Sn2SbSe, relaxed, DFT PBE-GGA; values from VASP
! volume: 29.4 Å³ per atom
! distance to the lowest polymorph of the same formula: 0.000 eV/atom
! ΔE_f (raw): -0.196 eV per atom
! N(E_F): 0.628 states/eV/atom
&SYSTEM
  ibrav = 0, nat = 4, ntyp = 3
/
ATOMIC_SPECIES
Sn 118.71 Sn.upf
Sb 121.76 Sb.upf
Se 78.96 Se.upf
ATOMIC_POSITIONS crystal
Sn 0.0000 0.0000 0.0000
Sn 0.5007 0.5007 0.5490
Sb 0.0008 0.0008 0.4771
Se 0.5055 0.5055 0.9758
CELL_PARAMETERS angstrom
3.0216 -3.0196 0.0000
3.0216 3.0196 0.0000
-0.0472 0.0000 6.4421



(2)
! Sn2SbSe, relaxed, DFT PBE-GGA; values from VASP
! volume: 28.4 Å³ per atom
! distance to the lowest polymorph of the same formula: 0.043 eV/atom
! ΔE_f (raw): -0.153 eV per atom
! N(E_F): 0.665 states/eV/atom
&SYSTEM
  ibrav = 0, nat = 4, ntyp = 3
/
ATOMIC_SPECIES
Sn 118.71 Sn.upf
Sb 121.76 Sb.upf
Se 78.96 Se.upf
ATOMIC_POSITIONS crystal
Sn 0.2489 0.2489 0.2489
Sn 0.7511 0.7511 0.7511
Sb 0.0000 0.0000 0.0000
Se 0.5000 0.5000 0.5000
CELL_PARAMETERS angstrom
2.1750 1.2557 6.9269
-2.1750 1.2557 6.9269
0.0000 -2.5115 6.9269



(3)
! Sn3Sb2Se8, relaxed, DFT PBE-GGA; values from VASP
! volume: 31.0 Å³ per atom
! ΔE_f (raw): -0.224 eV per atom
! N(E_F): 0.394 states/eV/atom
&SYSTEM
  ibrav = 0, nat = 13, ntyp = 3
/
ATOMIC_SPECIES
Sn 118.71 Sn.upf
Sb 121.76 Sb.upf
Se 78.96 Se.upf
ATOMIC_POSITIONS crystal
Sn 0.0000 0.0000 0.0000
Sn 0.2471 0.7529 0.5000
Sn 0.7529 0.2471 0.5000
Sb 0.3141 0.3141 0.8454
Sb 0.6859 0.6859 0.1546
Se 0.1087 0.1087 0.4187
Se 0.1118 0.6526 0.0761
Se 0.3474 0.8882 0.9239
Se 0.3812 0.3812 0.5456
Se 0.6188 0.6188 0.4544
Se 0.6526 0.1118 0.0761
Se 0.8882 0.3474 0.9239
Se 0.8913 0.8913 0.5813
CELL_PARAMETERS angstrom
7.9428 -3.9714 0.0000
7.9428 3.9714 0.0000
-2.4194 0.0000 6.3840



(4)
! Sn2SbSe2, relaxed, DFT PBE-GGA; values from VASP
! volume: 27.2 Å³ per atom
! distance to the lowest polymorph of the same formula: 0.000 eV/atom
! ΔE_f (raw): -0.046 eV per atom
! N(E_F): 0.708 states/eV/atom
&SYSTEM
  ibrav = 0, nat = 10, ntyp = 3
/
ATOMIC_SPECIES
Sn 118.71 Sn.upf
Sb 121.76 Sb.upf
Se 78.96 Se.upf
ATOMIC_POSITIONS crystal
Sn 0.1633 0.3367 0.0000
Sn 0.3367 0.8367 0.0000
Sn 0.6633 0.1633 0.0000
Sn 0.8367 0.6633 0.0000
Sb 0.0000 0.0000 0.5000
Sb 0.5000 0.5000 0.5000
Se 0.1597 0.6597 0.5000
Se 0.3403 0.1597 0.5000
Se 0.6597 0.8403 0.5000
Se 0.8403 0.3403 0.5000
CELL_PARAMETERS angstrom
8.2661 0.0000 0.0000
0.0000 8.2661 0.0000
0.0000 0.0000 3.9820



(5)
! Sn4SbSe3, relaxed, DFT PBE-GGA; values from VASP
! volume: 28.0 Å³ per atom
! ΔE_f (raw): -0.288 eV per atom
! N(E_F): 0.525 states/eV/atom
&SYSTEM
  ibrav = 0, nat = 16, ntyp = 3
/
ATOMIC_SPECIES
Sn 118.71 Sn.upf
Sb 121.76 Sb.upf
Se 78.96 Se.upf
ATOMIC_POSITIONS crystal
Sn 0.2476 0.1234 0.4963
Sn 0.2476 0.8766 0.9963
Sn 0.2486 0.3728 0.0025
Sn 0.2486 0.6272 0.5025
Sn 0.7514 0.3728 0.4975
Sn 0.7514 0.6272 0.9975
Sn 0.7524 0.1234 0.0037
Sn 0.7524 0.8766 0.5037
Sb 0.5000 0.3752 0.7500
Sb 0.5000 0.6248 0.2500
Se 0.0000 0.1251 0.7500
Se 0.0000 0.3725 0.2500
Se 0.0000 0.6275 0.7500
Se 0.0000 0.8749 0.2500
Se 0.5000 0.1248 0.2500
Se 0.5000 0.8752 0.7500
CELL_PARAMETERS angstrom
7.4558 0.0000 0.0000
0.0000 8.5594 0.0000
-2.4343 0.0000 7.0235



(6)
! Tb6SnSb3Se2, relaxed, DFT PBE-GGA; values from VASP
! volume: 28.4 Å³ per atom
! ΔE_f (raw): -1.290 eV per atom
! N(E_F): 0.220 states/eV/atom
&SYSTEM
  ibrav = 0, nat = 12, ntyp = 4
/
ATOMIC_SPECIES
Tb 158.93 Tb.upf
Sn 118.71 Sn.upf
Sb 121.76 Sb.upf
Se 78.96 Se.upf
ATOMIC_POSITIONS crystal
Tb 0.0036 0.0036 0.2505
Tb 0.3315 0.3315 0.4201
Tb 0.3333 0.3333 0.9121
Tb 0.6667 0.6667 0.0879
Tb 0.6685 0.6685 0.5799
Tb 0.9964 0.9964 0.7495
Sn 0.5000 0.5000 0.0000
Sb 0.1664 0.1664 0.8313
Sb 0.5000 0.5000 0.5000
Sb 0.8336 0.8336 0.1687
Se 0.1689 0.1689 0.3374
Se 0.8311 0.8311 0.6626
CELL_PARAMETERS angstrom
9.3812 -2.1559 0.0000
9.3812 2.1559 0.0000
-1.9638 0.0000 8.4148



(7)
! Tb4SnSbSe2, relaxed, DFT PBE-GGA; values from VASP
! volume: 27.4 Å³ per atom
! ΔE_f (raw): -1.363 eV per atom
! N(E_F): 0.205 states/eV/atom
&SYSTEM
  ibrav = 0, nat = 8, ntyp = 4
/
ATOMIC_SPECIES
Tb 158.93 Tb.upf
Sn 118.71 Sn.upf
Sb 121.76 Sb.upf
Se 78.96 Se.upf
ATOMIC_POSITIONS crystal
Tb 0.2430 0.0000 0.2450
Tb 0.2434 0.5000 0.7500
Tb 0.7570 0.0000 0.7550
Tb 0.7566 0.5000 0.2500
Sn 0.5000 0.0000 0.0000
Sb 0.5000 0.5000 0.5000
Se 0.0000 0.0000 0.5000
Se 0.0000 0.5000 0.0000
CELL_PARAMETERS angstrom
7.3674 0.0000 0.0000
0.0000 4.2740 0.0000
-2.4712 0.0000 6.9729



(8)
! TcSnSbSe2, relaxed, DFT PBE-GGA; values from VASP
! volume: 25.3 Å³ per atom
! ΔE_f (raw): 0.313 eV per atom
! N(E_F): 1.070 states/eV/atom
&SYSTEM
  ibrav = 0, nat = 5, ntyp = 4
/
ATOMIC_SPECIES
Tc 98.00 Tc.upf
Sn 118.71 Sn.upf
Sb 121.76 Sb.upf
Se 78.96 Se.upf
ATOMIC_POSITIONS crystal
Tc 0.0000 0.0000 0.0000
Sn 0.0000 0.0000 0.5000
Sb 0.5000 0.5000 0.5000
Se 0.0000 0.5000 0.0000
Se 0.5000 0.0000 0.0000
CELL_PARAMETERS angstrom
4.7563 0.0000 0.0000
0.0000 4.7563 0.0000
0.0000 0.0000 5.6021



- The highest volume belongs to which entry?
  Sn3Sb2Se8



- Which formula does entry 1 have?
  Sn2SbSe